# TbPrYS3

An optimized crystal structure of TbPrYS3 (PBE-GGA, the Alexandria database).

size of the total moment: 0.000 μB per formula unit
ρ: 5.90 g/cm³
uncorrected formation energy: -1.94 eV per atom
E_tot: -6.652 eV per atom
symmetry: P2_1/m

abc: 6.8830 3.9140 10.3780
angles: 90.00 102.60 90.00
Positions (direct):
Tb  0.2344  0.2500  0.4446
Tb  0.7656  0.7500  0.5554
Pr  0.3426  0.7500  0.8049
Pr  0.6574  0.2500  0.1951
Y  0.1270  0.7500  0.1316
Y  0.8730  0.2500  0.8684
S  0.0508  0.2500  0.6558
S  0.2728  0.2500  0.9995
S  0.4517  0.7500  0.3386
S  0.5483  0.2500  0.6614
S  0.7272  0.7500  0.0005
S  0.9492  0.7500  0.3442